## TlZnSeBr2 (PBE-GGA)

Data for a relaxed TlZnSeBr2 crystal.

energy above the most stable polymorph in this dataset = 0.560 eV/atom
formation energy (no corrections) = 0.162 eV per atom
DOS(E_F) = 0.810 states/eV/atom
electronic total energy = -9.66 eV per cell
space group = No. 123

Lattice parameters (Å, degrees): 5.5941 5.5941 5.5338 90.00 90.00 90.00
Last column: nearest neighbours and their distance in Å.
Fractional positions:
Zn 0.5000 0.5000 0.5000  8 Br 3.93, 4 Se 3.96
Tl 0.0000 0.0000 0.0000  2 Se 2.77, 4 Br 2.80
Se 0.0000 0.0000 0.5000  2 Tl 2.77
Br 0.0000 0.5000 0.0000  2 Tl 2.80
Br 0.5000 0.0000 0.0000  2 Tl 2.80


## Y2Pa2Ni15 (PBE-GGA)

Data for a relaxed Y2Pa2Ni15 crystal.

formation enthalpy at 0 K = -0.290 eV/atom
DOS(E_F) = 1.221 states/eV/atom
electronic total energy = -124.16 eV per cell
space group = No. 166

Lattice parameters (Å, degrees): 6.4985 6.4985 6.4985 81.35 81.35 81.35
Last column: nearest neighbours and their distance in Å.
Fractional positions:
Y 0.3628 0.3628 0.3628  12 Ni 2.92-3.06, 1 Pa 3.26
Y 0.6372 0.6372 0.6372  12 Ni 2.92-3.06, 1 Pa 3.26
Pa 0.1086 0.1086 0.1086  6 Ni 2.56-2.62, 1 Pa 2.79
Pa 0.8914 0.8914 0.8914  6 Ni 2.56-2.62, 1 Pa 2.79
Ni 0.5000 0.0000 0.0000  8 Ni 2.46-2.52, 2 Pa 2.56
Ni 0.0000 0.0000 0.5000  8 Ni 2.46-2.52, 2 Pa 2.56
Ni 0.0000 0.5000 0.0000  8 Ni 2.46-2.52, 2 Pa 2.56
Ni 0.0000 0.6898 0.3102  8 Ni 2.52-2.63
Ni 0.6898 0.3102 0.0000  8 Ni 2.52-2.63
Ni 0.3102 0.0000 0.6898  8 Ni 2.52-2.63
Ni 0.3102 0.6898 0.0000  8 Ni 2.52-2.63
Ni 0.6898 0.0000 0.3102  8 Ni 2.52-2.63
Ni 0.0000 0.3102 0.6898  8 Ni 2.52-2.63
Ni 0.1618 0.6554 0.6554  8 Ni 2.43-2.62, 1 Pa 2.62
Ni 0.6554 0.6554 0.1618  8 Ni 2.43-2.62, 1 Pa 2.62
Ni 0.6554 0.1618 0.6554  8 Ni 2.43-2.62, 1 Pa 2.62
Ni 0.8382 0.3446 0.3446  8 Ni 2.43-2.62, 1 Pa 2.62
Ni 0.3446 0.3446 0.8382  8 Ni 2.43-2.62, 1 Pa 2.62
Ni 0.3446 0.8382 0.3446  8 Ni 2.43-2.62, 1 Pa 2.62


## La2CoNi12Ge3 (PBE-GGA)

Data for a relaxed La2CoNi12Ge3 crystal.

formation enthalpy at 0 K = 0.211 eV/atom
DOS(E_F) = 0.886 states/eV/atom
electronic total energy = -96.39 eV per cell
space group = No. 166

Lattice parameters (Å, degrees): 7.3883 7.3883 7.3883 61.60 61.60 61.60
Last column: nearest neighbours and their distance in Å.
Fractional positions:
La 0.6307 0.6307 0.6307  6 Ni 2.62-2.72
La 0.3693 0.3693 0.3693  6 Ni 2.62-2.72
Co 0.0000 0.0000 0.0000  6 Ni 2.25
Ni 0.3737 0.3737 0.8723  2 Ge 2.30
Ni 0.8776 0.8776 0.3660  1 Co 2.25, 1 Ge 2.26
Ni 0.3660 0.8776 0.8776  1 Co 2.25, 1 Ge 2.26
Ni 0.8723 0.3737 0.3737  2 Ge 2.30
Ni 0.8776 0.3660 0.8776  1 Co 2.25, 1 Ge 2.26
Ni 0.3737 0.8723 0.3737  2 Ge 2.30
Ni 0.6263 0.6263 0.1277  2 Ge 2.30
Ni 0.1224 0.1224 0.6340  1 Co 2.25, 1 Ge 2.26
Ni 0.6340 0.1224 0.1224  1 Co 2.25, 1 Ge 2.26
Ni 0.1277 0.6263 0.6263  2 Ge 2.30
Ni 0.1224 0.6340 0.1224  1 Co 2.25, 1 Ge 2.26
Ni 0.6263 0.1277 0.6263  2 Ge 2.30
Ge 0.5000 0.0000 0.0000  6 Ni 2.26-2.30
Ge 0.0000 0.5000 0.0000  6 Ni 2.26-2.30
Ge 0.0000 0.0000 0.5000  6 Ni 2.26-2.30


## Tb3Dy6Er2Tl (PBE-GGA)

Data for a relaxed Tb3Dy6Er2Tl crystal.

formation enthalpy at 0 K = -0.011 eV/atom
DOS(E_F) = 1.324 states/eV/atom
electronic total energy = -53.13 eV per cell
space group = No. 12

Lattice parameters (Å, degrees): 6.0986 6.0986 11.5973 95.08 95.08 120.07
Last column: nearest neighbours and their distance in Å.
Fractional positions:
Tb 0.1670 0.8330 0.5000  6 Tb 3.52-3.53, 6 Dy 3.52-3.55
Tb 0.8330 0.1670 0.5000  6 Tb 3.52-3.53, 6 Dy 3.52-3.55
Tb 0.5000 0.5000 0.5000  6 Tb 3.52, 6 Dy 3.53
Dy 0.9188 0.5892 0.7539  1 Tl 3.45, 2 Er 3.48, 6 Dy 3.48-3.54, 3 Tb 3.53-3.55
Dy 0.7517 0.7517 0.2480  1 Tl 3.48, 6 Dy 3.48-3.54, 2 Er 3.48, 3 Tb 3.52-3.53
Dy 0.0812 0.4108 0.2461  1 Tl 3.45, 2 Er 3.48, 6 Dy 3.48-3.54, 3 Tb 3.53-3.55
Dy 0.5892 0.9188 0.7539  1 Tl 3.45, 2 Er 3.48, 6 Dy 3.48-3.54, 3 Tb 3.53-3.55
Dy 0.2483 0.2483 0.7520  1 Tl 3.48, 6 Dy 3.48-3.54, 2 Er 3.48, 3 Tb 3.52-3.53
Dy 0.4108 0.0812 0.2461  1 Tl 3.45, 2 Er 3.48, 6 Dy 3.48-3.54, 3 Tb 3.53-3.55
Er 0.3342 0.6658 0.0000  6 Dy 3.48, 3 Er 3.50-3.53, 3 Tl 3.51-3.53
Er 0.6658 0.3342 0.0000  6 Dy 3.48, 3 Er 3.50-3.53, 3 Tl 3.51-3.53
Tl 0.0000 0.0000 0.0000  6 Dy 3.45-3.48, 6 Er 3.51-3.53


## PrBiF (PBE-GGA)

Data for a relaxed PrBiF crystal.

energy above the most stable polymorph in this dataset = 0.170 eV/atom
formation energy (no corrections) = -1.864 eV per atom
DOS(E_F) = 0.296 states/eV/atom
electronic total energy = -16.13 eV per cell
space group = No. 107

Lattice parameters (Å, degrees): 3.4898 3.4898 6.4930 105.59 105.59 90.00
Last column: nearest neighbours and their distance in Å.
Fractional positions:
Pr 0.7177 0.7177 0.4353  4 F 2.56
Bi 0.0066 0.0066 0.0133  1 F 3.23, 5 Pr 3.47-3.54, 4 Bi 3.49
F 0.2757 0.2757 0.5514  4 Pr 2.56


## Na2PuF5 (PBE-GGA)

Data for a relaxed Na2PuF5 crystal.

formation energy (no corrections) = -3.141 eV per atom
DOS(E_F) = 1.085 states/eV/atom
electronic total energy = -205.82 eV per cell
space group = No. 62

Lattice parameters (Å, degrees): 6.4423 7.2005 10.1064 90.00 90.00 90.00
Last column: nearest neighbours and their distance in Å.
Fractional positions:
Na 0.5032 0.4942 0.8261  6 F 2.35-2.58
Na 0.4968 0.5058 0.1739  6 F 2.35-2.58
Na 0.0032 0.5058 0.6739  6 F 2.35-2.58
Na 0.4968 0.9942 0.1739  6 F 2.35-2.58
Na 0.9968 0.4942 0.3261  6 F 2.35-2.58
Na 0.5032 0.0058 0.8261  6 F 2.35-2.58
Na 0.9968 0.0058 0.3261  6 F 2.35-2.58
Na 0.0032 0.9942 0.6739  6 F 2.35-2.58
Pu 0.4265 0.2500 0.5042  7 F 2.27-2.36
Pu 0.5735 0.7500 0.4958  7 F 2.27-2.36
Pu 0.9265 0.7500 0.9958  7 F 2.27-2.36
Pu 0.0735 0.2500 0.0042  7 F 2.27-2.36
F 0.0610 0.2500 0.5090  1 Pu 2.35, 4 Na 2.51-2.58
F 0.9390 0.7500 0.4910  1 Pu 2.35, 4 Na 2.51-2.58
F 0.5610 0.7500 0.9910  1 Pu 2.35, 4 Na 2.51-2.58
F 0.4390 0.2500 0.0090  1 Pu 2.35, 4 Na 2.51-2.58
F 0.3489 0.9626 0.6020  2 Pu 2.35-2.36, 2 Na 2.35-2.49
F 0.6511 0.0374 0.3980  2 Pu 2.35-2.36, 2 Na 2.35-2.49
F 0.8489 0.0374 0.8980  2 Pu 2.35-2.36, 2 Na 2.35-2.49
F 0.6511 0.4626 0.3980  2 Pu 2.35-2.36, 2 Na 2.35-2.49
F 0.1511 0.9626 0.1020  2 Pu 2.35-2.36, 2 Na 2.35-2.49
F 0.3489 0.5374 0.6020  2 Pu 2.35-2.36, 2 Na 2.35-2.49
F 0.1511 0.5374 0.1020  2 Pu 2.35-2.36, 2 Na 2.35-2.49
F 0.8489 0.4626 0.8980  2 Pu 2.35-2.36, 2 Na 2.35-2.49
F 0.1946 0.2500 0.7877  1 Pu 2.32, 2 Na 2.50
F 0.8054 0.7500 0.2123  1 Pu 2.32, 2 Na 2.50
F 0.6946 0.7500 0.7123  1 Pu 2.32, 2 Na 2.50
F 0.3054 0.2500 0.2877  1 Pu 2.32, 2 Na 2.50
F 0.6384 0.2500 0.6838  1 Pu 2.27, 2 Na 2.43
F 0.3616 0.7500 0.3162  1 Pu 2.27, 2 Na 2.43
F 0.1384 0.7500 0.8162  1 Pu 2.27, 2 Na 2.43
F 0.8616 0.2500 0.1838  1 Pu 2.27, 2 Na 2.43


## Er2CdGaPd4 (PBE-GGA)

Data for a relaxed Er2CdGaPd4 crystal.

formation enthalpy at 0 K = -0.787 eV/atom
DOS(E_F) = 0.519 states/eV/atom
electronic total energy = -40.14 eV per cell
space group = No. 166

Lattice parameters (Å, degrees): 4.7023 4.7023 8.1881 73.31 73.31 60.00
Last column: nearest neighbours and their distance in Å.
Fractional positions:
Er 0.7498 0.7498 0.7507  8 Pd 2.82-3.01
Er 0.2502 0.2502 0.2493  8 Pd 2.82-3.01
Cd 0.0000 0.0000 0.0000  8 Pd 2.92-2.98
Ga 0.5000 0.5000 0.5000  8 Pd 2.78-2.85
Pd 0.3800 0.3800 0.8600  1 Ga 2.78, 4 Er 2.84-3.01, 3 Cd 2.92
Pd 0.8714 0.8714 0.3858  4 Er 2.82-2.91, 3 Ga 2.85, 1 Cd 2.98
Pd 0.1286 0.1286 0.6142  4 Er 2.82-2.91, 3 Ga 2.85, 1 Cd 2.98
Pd 0.6200 0.6200 0.1400  1 Ga 2.78, 4 Er 2.84-3.01, 3 Cd 2.92


## AcInPO6 (PBE-GGA)

Data for a relaxed AcInPO6 crystal.

formation energy (no corrections) = -2.086 eV per atom
DOS(E_F) = 0.652 states/eV/atom
electronic total energy = -60.78 eV per cell
space group = No. 149

Lattice parameters (Å, degrees): 5.2389 5.2388 5.2043 90.00 90.00 60.00
Last column: nearest neighbours and their distance in Å.
Fractional positions:
Ac 0.0000 0.0000 0.0000  6 O 2.54
In 0.6666 0.6667 0.5000  6 O 2.16
P 0.3333 0.3333 0.5000  6 O 1.73
O 0.0613 0.3436 0.3045  1 P 1.73
O 0.3436 0.0613 0.6955  1 P 1.73
O 0.5950 0.3436 0.6955  1 P 1.73
O 0.0613 0.5951 0.6955  1 P 1.73
O 0.3435 0.5951 0.3045  1 P 1.73
O 0.5951 0.0614 0.3045  1 P 1.73